1.
Entry from the Alexandria database: a relaxed structure of SrCaCuP (PBE).

The structure in POSCAR format:
```
SrCaCuP
1.0
-2.524 -2.904 3.390
-3.749 -3.119 -1.585
0.699 -5.080 0.048
Sr P Ca Cu
1 1 1 1
Cartesian
-1.394 -2.776 0.463
-2.787 -5.551 0.927
-4.181 -8.327 1.390
0.000 0.000 0.000
```

Calculated values
Its space group is No. 216. For the theoretical density, the calculation gives 3.870 g/cm³. The calculation puts the formation energy from the elements at -0.53 eV per atom.

2.
Entry from the Alexandria database: a relaxed structure of YHfMo (PBE).

The structure in POSCAR format:
```
YHfMo
1.0
-4.127 4.331 -5.354
-2.204 -2.504 -0.326
-3.550 1.816 10.044
Y Mo Hf
4 4 4
Cartesian
-5.650 1.922 6.198
-2.773 2.266 1.339
-4.232 1.721 -1.835
-4.905 3.881 3.350
-5.068 4.695 -1.795
-7.945 4.351 3.063
-2.610 1.452 6.485
-1.937 -0.708 1.300
-6.829 5.279 5.618
-6.156 3.119 0.433
-3.726 0.524 3.930
-0.849 0.868 -0.929
```

Calculated values
Its space group is No. 12. The calculation puts the energy above the lowest structure with this stoichiometry at 0 meV/atom. For the theoretical density, the calculation gives 8.897 g/cm³. The calculation puts the formation energy from the elements at 0.11 eV per atom.

3.
Entry from the Alexandria database: a relaxed structure of NaInSe2 (PBE).

The structure in POSCAR format:
```
NaInSe2
1.0
8.225 0.000 0.000
0.000 4.170 0.000
0.000 0.000 16.862
Se In Na
8 4 4
Cartesian
7.579 1.042 12.266
3.467 1.042 13.027
1.630 3.127 9.015
6.595 1.042 7.847
0.646 3.127 4.596
5.743 3.127 16.279
2.483 1.042 0.584
4.759 3.127 3.835
4.277 1.042 15.398
0.165 1.042 9.896
8.061 3.127 6.967
3.948 3.127 1.465
2.753 1.042 4.546
1.360 3.127 12.977
5.473 3.127 12.316
6.865 1.042 3.885
```

Calculated values
Its space group is No. 62. For the theoretical density, the calculation gives 3.396 g/cm³. Its uncorrected formation energy is -73.4 kJ/mol of atoms.

4.
Entry from the Alexandria database: a relaxed structure of Ba2InS4 (PBE).

The structure in POSCAR format:
```
Ba2InS4
1.0
5.106 0.000 0.000
0.000 5.106 0.000
2.553 2.553 7.851
S Ba In
4 2 1
Cartesian
2.553 2.553 5.239
2.553 0.000 0.000
5.106 5.106 2.612
0.000 2.553 0.000
2.553 2.553 2.142
5.106 5.106 5.709
0.000 0.000 0.000
```

Calculated values
Its space group is No. 139. The calculation puts the energy above the lowest structure with this stoichiometry at 212 meV/atom. For the theoretical density, the calculation gives 4.201 g/cm³. Its uncorrected formation energy is -118.7 kJ/mol of atoms.

5.
Entry from the Alexandria database: a relaxed structure of Nd4Ga2Bi (PBE).

The structure in POSCAR format:
```
Nd4Ga2Bi
1.0
8.076 -1.088 -0.156
-1.669 7.975 0.154
-3.088 -3.549 6.653
Nd Bi Ga
8 2 4
Cartesian
-1.608 0.672 2.681
-0.605 -1.824 5.005
0.708 6.588 1.785
0.101 2.296 6.005
5.601 3.604 0.646
3.431 -2.367 4.865
1.541 2.602 1.648
4.104 1.784 3.970
0.000 0.001 0.000
-0.777 3.935 3.403
1.466 0.243 4.116
3.453 4.817 2.535
4.258 0.857 0.751
-2.542 0.760 5.901
```

Calculated values
Its space group is No. 122. For the theoretical density, the calculation gives 7.377 g/cm³. The calculation puts the formation energy from the elements at -0.58 eV per atom.

6.
Entry from the Alexandria database: a relaxed structure of MgMnPt (PBE).

The structure in POSCAR format:
```
MgMnPt
1.0
0.012 -3.118 3.799
3.794 -3.014 0.822
-1.376 4.679 -0.603
Mn Mg Pt
1 1 1
Cartesian
1.232 -1.986 1.496
0.018 -0.028 0.021
2.556 -4.118 3.103
```

Calculated values
Its space group is No. 44. For the theoretical density, the calculation gives 9.482 g/cm³. The calculation puts the formation energy from the elements at -0.37 eV per atom.

7.
Entry from the Alexandria database: a relaxed structure of In5Cu (PBE).

The structure in POSCAR format:
```
In5Cu
1.0
1.674 5.678 -0.167
-1.674 5.678 -0.167
0.000 2.254 7.751
In Cu
5 1
Cartesian
0.000 3.826 2.826
0.000 9.437 5.429
0.000 5.941 7.464
0.000 12.347 4.267
0.000 6.774 1.468
0.000 2.489 7.312
```

Calculated values
Its space group is No. 8. For the theoretical density, the calculation gives 7.126 g/cm³. The calculation puts the formation energy from the elements at 0.07 eV per atom.

8.
Entry from the Alexandria database: a relaxed structure of TcRu2Pb (PBE).

The structure in POSCAR format:
```
TcRu2Pb
1.0
9.218 -0.008 -0.005
8.757 2.879 -0.005
8.757 1.399 2.517
Ru Tc Pb
2 1 1
Cartesian
26.554 4.241 2.490
6.672 1.066 0.626
13.586 2.170 1.274
20.020 3.197 1.877
```

Calculated values
Its space group is No. 160. For the theoretical density, the calculation gives 12.554 g/cm³. The calculation puts the formation energy from the elements at 0.62 eV per atom.

- Look up the theoretical density of the sixth one.
  9.482 g/cm³

- Which of these has the lowest theoretical density?
  NaInSe2